A geometry-optimized Rb2Tc3Se6 structure, computed with GGA-PBE.

The structure in POSCAR format:
```
Rb2Tc3Se6
1.0
8.9655 -5.1503 0.0000
8.9655 5.1503 0.0000
-0.3341 0.0000 12.6529
Rb Tc Se
8 12 24
Cartesian
8.7149 3.8875 9.4897 Rb
6.6140 2.5879 12.4408 Rb
8.8819 2.2546 3.1632 Rb
10.8158 2.5879 6.5385 Rb
6.7810 -2.5879 6.1144 Rb
8.7149 -2.2546 9.4897 Rb
10.9829 -2.5879 0.2121 Rb
8.8819 -3.8875 3.1632 Rb
3.5685 1.7816 7.8675 Tc
3.6472 1.1696 5.2613 Tc
5.9045 1.6212 6.6031 Tc
3.4802 -1.1696 11.5877 Tc
3.7355 -1.7816 1.5411 Tc
6.0715 -1.6212 0.2767 Tc
11.5253 1.6212 12.3762 Tc
13.8613 1.7816 11.1118 Tc
14.1167 1.1696 1.0652 Tc
11.6924 -1.6212 6.0498 Tc
13.9496 -1.1696 7.3916 Tc
14.0284 -1.7816 4.7854 Tc
7.1901 3.7794 6.1202 Se
2.4424 0.7682 10.0700 Se
5.7313 2.2095 9.0507 Se
4.6366 0.4111 0.7479 Se
10.5738 3.7794 0.2063 Se
2.6094 -0.7682 3.7435 Se
5.8791 1.0478 4.1515 Se
4.4695 -0.4111 7.0744 Se
8.1578 0.3972 7.3027 Se
5.7120 -1.0478 10.4780 Se
11.6985 2.2095 9.9286 Se
9.2720 0.3972 11.6766 Se
8.3248 -0.3972 0.9763 Se
5.8984 -2.2095 2.7243 Se
11.8848 1.0478 2.1749 Se
9.4391 -0.3972 5.3502 Se
13.1273 0.4111 5.5785 Se
11.7177 -1.0478 8.5014 Se
14.9874 0.7682 8.9094 Se
7.0230 -3.7794 12.4466 Se
12.9603 -0.4111 11.9050 Se
11.8655 -2.2095 3.6022 Se
15.1545 -0.7682 2.5829 Se
10.4068 -3.7794 6.5327 Se
```

Results
E_tot	-0.41538	Ry/atom

=====

A geometry-optimized RbTc2Se structure, computed with GGA-PBE.

The structure in POSCAR format:
```
RbTc2Se
1.0
4.8522 0.0000 0.0000
0.0000 4.8522 0.0000
0.0000 0.0000 18.0021
Rb Tc Se
4 8 4
Cartesian
0.0000 1.2130 6.7508 Rb
0.0000 3.6391 11.2513 Rb
2.4261 1.2130 2.2503 Rb
2.4261 3.6391 15.7518 Rb
0.0000 0.0000 0.0000 Tc
0.0000 2.4261 0.0000 Tc
1.2130 1.2130 13.5016 Tc
1.2130 3.6391 4.5005 Tc
2.4261 0.0000 9.0010 Tc
2.4261 2.4261 9.0010 Tc
3.6391 1.2130 13.5016 Tc
3.6391 3.6391 4.5005 Tc
0.0000 1.2130 15.7518 Se
0.0000 3.6391 2.2503 Se
2.4261 1.2130 11.2513 Se
2.4261 3.6391 6.7508 Se
```

Results
energy relative to the lowest polymorph listed for this composition	0.0	meV per atom

=====

A geometry-optimized RbTc2Se structure, computed with GGA-PBE.

The structure in POSCAR format:
```
RbTc2Se
1.0
6.6260 0.0000 0.0000
0.0000 6.6260 0.0000
0.0000 0.0000 6.6260
Rb Tc Se
4 8 4
Cartesian
0.0000 0.0000 0.0000 Rb
0.0000 3.3130 3.3130 Rb
3.3130 0.0000 3.3130 Rb
3.3130 3.3130 0.0000 Rb
1.6565 1.6565 1.6565 Tc
1.6565 1.6565 4.9695 Tc
1.6565 4.9695 1.6565 Tc
1.6565 4.9695 4.9695 Tc
4.9695 1.6565 1.6565 Tc
4.9695 1.6565 4.9695 Tc
4.9695 4.9695 1.6565 Tc
4.9695 4.9695 4.9695 Tc
0.0000 0.0000 3.3130 Se
0.0000 3.3130 0.0000 Se
3.3130 0.0000 0.0000 Se
3.3130 3.3130 3.3130 Se
```

Results
energy relative to the lowest polymorph listed for this composition	813.6	meV per atom

=====

A geometry-optimized RbTlTcSe2 structure, computed with GGA-PBE.

The structure in POSCAR format:
```
RbTlTcSe2
1.0
5.5242 0.0000 0.0000
0.0000 5.5242 0.0000
0.0000 0.0000 6.3663
Rb Tl Tc Se
1 1 1 2
Cartesian
0.0000 0.0000 0.0000 Rb
0.0000 0.0000 3.1831 Tl
2.7621 2.7621 0.0000 Tc
0.0000 2.7621 3.1831 Se
2.7621 0.0000 3.1831 Se
```

Results
E_tot	-0.22187	Ry/atom

=====

A geometry-optimized Rb3U3TcSe8 structure, computed with GGA-PBE.

The structure in POSCAR format:
```
Rb3U3TcSe8
1.0
3.9783 2.2969 8.4148
-3.9783 2.2969 8.4148
0.0000 -4.5937 8.4148
Rb U Tc Se
3 3 1 8
Cartesian
-1.9891 -1.1484 8.4148 Rb
-1.9891 1.1484 16.8297 Rb
0.0000 2.2969 8.4148 Rb
-3.9783 0.0000 12.6222 U
-1.9891 1.1484 4.2074 U
1.9891 1.1484 4.2074 U
0.0000 0.0000 12.6222 Tc
0.0000 0.0000 5.9230 Se
-1.8607 -1.0743 14.2030 Se
0.0000 -2.1486 11.0414 Se
-1.8607 1.0743 11.0414 Se
1.8607 -1.0743 14.2031 Se
0.0000 2.1486 14.2031 Se
1.8607 1.0743 11.0414 Se
0.0000 0.0000 19.3215 Se
```

Results
E_tot	-0.44390	Ry/atom

=====

A geometry-optimized RbVTcSe2 structure, computed with GGA-PBE.

The structure in POSCAR format:
```
RbVTcSe2
1.0
5.8677 0.0000 0.0000
0.0000 5.8677 0.0000
0.0000 0.0000 4.9436
Rb V Tc Se
1 1 1 2
Cartesian
0.0000 0.0000 0.0000 Rb
0.0000 0.0000 2.4718 V
2.9339 2.9339 2.4718 Tc
0.0000 2.9339 0.0000 Se
2.9339 0.0000 0.0000 Se
```

Results
E_tot	-0.24887	Ry/atom